[1]
The following is a DFT calculation (GGA-PBE) of La3Pm8Mg4 after structural relaxation.

Computed properties:
total DFT energy (no corrections): -55.2 eV/f.u.
energy of formation from the pure elements: 0.266 eV/atom
symmetry: C2/m (12)

Cell: 9.181 9.181 6.725 Å, 110.34 110.34 85.83°
Positions (direct):
La1 0.000 0.000 0.000
La2 0.000 0.500 0.500
La3 0.500 0.000 0.500
Pm1 0.250 0.250 0.945
Pm2 0.255 0.745 0.000
Pm3 0.290 0.710 0.500
Pm4 0.310 0.310 0.484
Pm5 0.690 0.690 0.516
Pm6 0.710 0.290 0.500
Pm7 0.745 0.255 0.000
Pm8 0.750 0.750 0.055
Mg1 0.000 0.000 0.500
Mg2 0.000 0.500 0.000
Mg3 0.500 0.000 0.000
Mg4 0.500 0.500 0.000

[2]
The following is a DFT calculation (GGA-PBE) of Ba2YTlO6 after structural relaxation.

Computed properties:
total DFT energy (no corrections): -62.2 eV/f.u.
symmetry: I4/mmm (139)
raw formation energy: -1978 meV/atom

Cell: 6.218 6.218 6.218 Å, 120.08 120.08 89.85°
Positions (direct):
Ba1 0.250 0.750 0.500
Ba2 0.750 0.250 0.500
Y1 0.000 0.000 0.000
Tl1 0.500 0.500 0.000
O1 0.250 0.250 0.000
O2 0.251 0.251 0.502
O3 0.251 0.749 0.000
O4 0.749 0.251 0.000
O5 0.749 0.749 0.498
O6 0.750 0.750 0.000

Number 1: size of the total moment 0.6 μB/f.u.. Number 2: size of the total moment 1.8 μB/f.u..